VASP calculation (PBE) on a geometry-optimized KTe2P structure.

Cell and atoms, written as POSCAR:
```
KTe2P
1.0
-4.0003 -6.0805 0.2667
-1.1085 -6.8101 -2.3324
2.4300 -3.6538 3.7294
K P Te
1 1 2
Direct
0.4860 0.4860 0.7148
0.2205 0.2205 0.9650
0.0355 0.0355 0.1745
0.7580 0.7580 0.6457
```

Values from the calculation:
Space-group type: Cm (8)
E_tot in eV/cell: -13.9
Total magnetization in μB per cell: 0.00

=====

VASP calculation (PBE) on a geometry-optimized KTeP2 structure.

Cell and atoms, written as POSCAR:
```
KTeP2
1.0
5.1367 0.0000 0.0000
2.5683 4.4485 0.0000
2.5683 1.4828 4.1941
P Te K
2 1 1
Direct
0.0000 0.0000 0.0000
0.2500 0.2500 0.2500
0.7500 0.7500 0.7500
0.5000 0.5000 0.5000
```

Values from the calculation:
Space-group type: F-43m (216)
E_tot in eV/cell: -12.7
Total magnetization in μB per cell: 0.00

=====

no.,formation energy from raw total energies (meV/atom)
1,-281
2,600